No. 1
Computed, not measured: a relaxed BeAgRh2 crystal at the GGA-PBE level of DFT.

Cell lengths 5.1756, 5.1756, 2.7276 Å; angles 76.11, 76.11, 118.71 degrees
Element x y z (fractional)
Be: 0.0000 0.5000 0.5000
Rh: 0.0000 0.0000 0.0000
Rh: 0.5000 0.5000 0.0000
Ag: 0.5000 0.0000 0.5000

The space group is C2/m, No. 12.



No. 2
Computed, not measured: a relaxed Gd2SnRh crystal at the GGA-PBE level of DFT.

Cell lengths 3.8440, 3.8440, 8.6644 Å; angles 77.18, 77.18, 60.00 degrees
Element x y z (fractional)
Gd: 0.2653 0.2653 0.2042
Gd: 0.7347 0.7347 0.7958
Rh: 0.0000 0.0000 0.0000
Sn: 0.5000 0.5000 0.5000

The space group is R-3m, No. 166. The value obtained for the excess energy over the best structure of this formula in the dataset is 0.155 eV per atom.



Across the entries above, formation energy from the elements takes the values 210; -593 meV per atom, respectively.